Crystalline Ta2HgCl at its relaxed geometry, computed with PBE-GGA.

Calculated values
Formation energy from raw total energies, eV/f.u.: 1.58
Space-group type: P2/m, No. 10
Calculated total energy, eV/atom: -6.068
Magnetic moment, μB/f.u.: 0.000
ρ, g/cm3: 13.40

Cell: 2.9867 4.2164 5.9091 Å, 90.00 95.13 90.00°
Last column: nearest neighbours and their distance in Å.
Sites, in units of the cell vectors:
Ta 0.0501 0.0000 0.2601  2 Cl 2.55
Ta 0.9499 0.0000 0.7399  2 Cl 2.55
Hg 0.5000 0.5000 0.0000  2 Hg 2.99, 8 Ta 3.00-3.01, 2 Cl 3.19
Cl 0.0000 0.5000 0.5000  4 Ta 2.55

---

Crystalline TaTcHg2Cl at its relaxed geometry, computed with PBE-GGA.

Calculated values
Formation energy from raw total energies, eV/f.u.: 4.14
Space-group type: P4/mmm, No. 123
Calculated total energy, eV/atom: -4.105
Magnetic moment, μB/f.u.: 0.000
ρ, g/cm3: 8.84

Cell: 5.3634 5.3634 4.6714 Å, 90.00 90.00 90.00°
Last column: nearest neighbours and their distance in Å.
Sites, in units of the cell vectors:
Ta 0.0000 0.0000 0.0000  2 Tc 2.34
Tc 0.0000 0.0000 0.5000  2 Ta 2.34
Hg 0.0000 0.5000 0.5000  2 Tc 2.68
Hg 0.5000 0.0000 0.5000  2 Tc 2.68
Cl 0.5000 0.5000 0.0000  8 Hg 3.56, 4 Ta 3.79

---

Crystalline TaHgWCl2 at its relaxed geometry, computed with PBE-GGA.

Calculated values
Formation energy from raw total energies, eV/f.u.: 6.29
Space-group type: P4/mmm, No. 123
Calculated total energy, eV/atom: -4.503
Magnetic moment, μB/f.u.: 2.884
ρ, g/cm3: 8.71

Cell: 4.5266 4.5266 5.9225 Å, 90.00 90.00 90.00°
Last column: nearest neighbours and their distance in Å.
Sites, in units of the cell vectors:
Ta 0.0000 0.0000 0.0000  4 Hg 3.20
Hg 0.5000 0.5000 0.0000  2 W 2.96, 4 Ta 3.20
W 0.5000 0.5000 0.5000  4 Cl 2.26
Cl 0.0000 0.5000 0.5000  2 W 2.26
Cl 0.5000 0.0000 0.5000  2 W 2.26

---

Crystalline Tb2HgCl at its relaxed geometry, computed with PBE-GGA.

Calculated values
Formation energy from raw total energies, eV/f.u.: -3.35
Space-group type: R3m, No. 160
Calculated total energy, eV/atom: -3.689
Magnetic moment, μB/f.u.: 0.000
ρ, g/cm3: 9.03

Cell: 9.2818 9.2818 9.2818 Å, 22.40 22.40 22.40°
Last column: nearest neighbours and their distance in Å.
Sites, in units of the cell vectors:
Tb 0.0000 0.0000 0.0000  3 Cl 2.99, 3 Hg 3.15
Tb 0.1591 0.1591 0.1591  3 Cl 3.01, 3 Hg 3.15
Hg 0.5795 0.5795 0.5795  6 Tb 3.15
Cl 0.4125 0.4125 0.4125  6 Tb 2.99-3.01

---

Crystalline TbHgCl at its relaxed geometry, computed with PBE-GGA.

Calculated values
Formation energy from raw total energies, eV/f.u.: -3.16
Space-group type: P2_1/m, No. 11
Calculated total energy, eV/atom: -3.314
Magnetic moment, μB/f.u.: 0.000
ρ, g/cm3: 8.27

Cell: 5.3107 3.9293 7.6047 Å, 90.00 90.38 90.00°
Last column: nearest neighbours and their distance in Å.
Sites, in units of the cell vectors:
Tb 0.0599 0.2500 0.2314  3 Cl 2.77-2.88, 3 Hg 3.04-3.09
Tb 0.9401 0.7500 0.7686  3 Cl 2.77-2.88, 3 Hg 3.04-3.09
Hg 0.3560 0.2500 0.8902  2 Hg 2.99, 3 Tb 3.04-3.09
Hg 0.6440 0.7500 0.1098  2 Hg 2.99, 3 Tb 3.04-3.09
Cl 0.2423 0.7500 0.4557  3 Tb 2.77-2.88
Cl 0.7577 0.2500 0.5443  3 Tb 2.77-2.88

---

Crystalline Tb2HgCl at its relaxed geometry, computed with PBE-GGA.

Calculated values
Formation energy from raw total energies, eV/f.u.: -2.90
Space-group type: R-3m, No. 166
Calculated total energy, eV/atom: -3.578
Magnetic moment, μB/f.u.: 0.000
ρ, g/cm3: 6.02

Cell: 8.3220 8.3220 8.3220 Å, 33.08 33.08 33.08°
Last column: nearest neighbours and their distance in Å.
Sites, in units of the cell vectors:
Tb 0.1130 0.1130 0.1130  1 Cl 2.66
Tb 0.8870 0.8870 0.8870  1 Cl 2.66
Hg 0.5000 0.5000 0.5000  6 Tb 3.01
Cl 0.0000 0.0000 0.0000  2 Tb 2.66